Record 1
Compound: PrGe2Au
Source: the Alexandria database
Functional: PBE-GGA
Structure: optimized geometry

The structure belongs to space group P4/mmm (No. 123); the cell edges are 4.515, 4.515 and 4.259 Å and the angles 90.00°, 90.00° and 90.00°. The asymmetric unit holds Pr at (0.000, 0.000, 0.000), Ge at (0.000, 0.500, 0.500) and Au at (0.500, 0.500, 0.000).

The calculation puts the magnetic moment at 0.000 μB per atom. The value obtained for the energy relative to the elements is -0.47 eV per atom. The total energy is -0.1761 hartree per atom.

=====

Record 2
Compound: Ac3Zn2Ga4
Source: the Alexandria database
Functional: PBE-GGA
Structure: optimized geometry

The structure belongs to space group C2/m (No. 12); the cell edges are 12.039, 4.427 and 8.955 Å and the angles 90.00°, 98.31° and 90.00°. The asymmetric unit holds Ac at (0.000, 0.000, 0.000), Ac at (0.165, 0.500, 0.667), Zn at (0.111, 0.500, 0.279), Ga at (0.055, 0.000, 0.388) and Ga at (0.222, 0.500, 0.058).

The calculation puts the magnetic moment at 0.000 μB per atom. The value obtained for the energy relative to the elements is -0.52 eV per atom. The total energy is -0.1292 hartree per atom.

=====

Record 3
Compound: CuAg3Te2
Source: the Alexandria database
Functional: PBE-GGA
Structure: optimized geometry

The structure belongs to space group Ibam (No. 72); the cell edges are 7.359, 10.278 and 7.803 Å and the angles 90.00°, 90.00° and 90.00°. The asymmetric unit holds Cu at (0.000, 0.000, 0.000), Ag at (0.000, 0.199, 0.250), Ag at (0.000, 0.500, 0.250) and Te at (0.219, 0.363, 0.000).

As for the energy relative to the lowest polymorph listed for this composition: 44.4 meV/atom. The calculation puts the magnetic moment at 0.000 μB per atom. The calculation puts the uncorrected formation energy at 0.05 eV per atom. The total energy is -0.1141 hartree per atom.